Arrangement a

! SrPS2N, relaxed, DFT PBE; values from VASP
&SYSTEM
  ibrav = 0, nat = 5, ntyp = 4
/
ATOMIC_SPECIES
Sr 87.62 Sr.upf
S 32.06 S.upf
N 14.01 N.upf
P 30.97 P.upf
ATOMIC_POSITIONS crystal
Sr 0.5000 0.5000 0.5000
S 0.0000 0.5000 0.0000
S 0.5000 0.0000 0.0000
N 0.0000 0.0000 0.5000
P 0.0000 0.0000 0.0000
CELL_PARAMETERS angstrom
-1.9161 0.6492 4.4855
-4.2954 -1.8140 -1.5723
1.0235 -3.2044 0.9010
! Space group: P4/mmm (123)
! Total moment in μB per cell: 0.000

Arrangement b

! SrPS2N, relaxed, DFT PBE; values from VASP
&SYSTEM
  ibrav = 0, nat = 5, ntyp = 4
/
ATOMIC_SPECIES
Sr 87.62 Sr.upf
S 32.06 S.upf
N 14.01 N.upf
P 30.97 P.upf
ATOMIC_POSITIONS crystal
Sr 0.0000 0.0000 0.0000
S 0.0000 0.5000 0.0000
S 0.5000 0.0000 0.0000
N 0.0000 0.0000 0.5000
P 0.5000 0.5000 0.5000
CELL_PARAMETERS angstrom
5.6930 0.0000 0.0000
0.0000 5.6930 0.0000
0.0000 0.0000 4.8588
! Space group: P4/mmm (123)
! Total moment in μB per cell: 2.004

Stability check: which of them is least stable? arrangement b.